Entry 1:
VASP calculation (PBE-GGA) on Ti4V2Mo after structural relaxation.

Geometry as POSCAR:
```
Ti4V2Mo
1.0
-2.321 2.321 6.056
2.321 -2.321 6.056
2.321 2.321 -6.056
Ti V Mo
4 2 1
Cartesian
2.321 0.000 0.000
0.000 0.000 2.514
0.000 2.321 0.000
0.000 0.000 9.598
0.000 0.000 4.581
0.000 0.000 7.531
0.000 0.000 0.000
```

Computed properties:
The energy above the most stable polymorph in this dataset is 869 meV/atom. The formation energy is 0.891 eV per atom.

Entry 2:
VASP calculation (PBE-GGA) on Y3SbPd after structural relaxation.

Geometry as POSCAR:
```
Y3SbPd
1.0
7.505 -5.371 0.000
7.505 5.371 0.000
-1.428 0.000 7.130
Y Sb Pd
12 4 4
Cartesian
1.997 0.953 0.311
5.313 2.725 3.804
1.283 -0.953 3.876
5.896 0.705 0.650
7.555 2.725 6.892
5.182 -0.705 4.215
8.400 0.705 2.915
6.027 -2.725 0.239
7.687 -0.705 6.480
12.300 0.953 3.254
8.269 -2.725 3.326
11.586 -0.953 6.819
2.879 1.490 5.321
3.593 -1.490 1.756
9.990 1.490 5.375
10.704 -1.490 1.809
6.434 4.898 5.348
7.148 3.035 1.783
6.434 -3.035 5.348
7.148 -4.898 1.783
```

Computed properties:
The energy above the most stable polymorph in this dataset is 0 meV/atom. Its uncorrected formation energy is -0.664 eV/atom.

Entry 3:
VASP calculation (PBE-GGA) on Pm4Te2PtCl after structural relaxation.

Geometry as POSCAR:
```
Pm4Te2PtCl
1.0
7.506 0.000 0.000
0.000 4.202 0.000
-2.466 0.000 7.315
Pm Te Pt Cl
4 2 1 1
Cartesian
1.123 0.000 1.597
-0.035 2.101 5.636
5.076 2.101 1.678
3.918 0.000 5.718
-1.233 0.000 3.657
2.520 2.101 3.657
0.000 2.101 0.000
3.753 0.000 0.000
```

Computed properties:
Its uncorrected formation energy is -1.354 eV/atom.

Entry 4:
VASP calculation (PBE-GGA) on Cs2TlHg7Au2 after structural relaxation.

Geometry as POSCAR:
```
Cs2TlHg7Au2
1.0
3.492 -3.463 0.000
3.492 3.463 0.000
-2.346 0.000 16.429
Cs Tl Hg Au
2 1 7 2
Cartesian
-0.007 0.000 5.523
4.646 0.000 10.906
0.000 0.000 0.000
1.720 1.733 2.483
1.079 0.000 9.232
2.919 1.733 13.946
3.492 0.000 0.000
1.720 -1.733 2.483
3.560 0.000 7.197
2.919 -1.733 13.946
1.174 0.000 12.179
3.465 0.000 4.250
```

Computed properties:
The formation energy is -0.149 eV per atom.

Entry 5:
VASP calculation (PBE-GGA) on CsCd after structural relaxation.

Geometry as POSCAR:
```
CsCd
1.0
0.000 3.961 3.961
3.961 0.000 3.961
3.961 3.961 0.000
Cs Cd
1 1
Cartesian
0.000 0.000 0.000
3.961 3.961 3.961
```

Computed properties:
The formation energy is 0.104 eV per atom.

Entry 6:
VASP calculation (PBE-GGA) on Zn2NiBPb after structural relaxation.

Geometry as POSCAR:
```
Zn2NiBPb
1.0
5.299 0.000 0.000
0.000 5.299 0.000
0.000 0.000 4.338
Zn Ni B Pb
2 1 1 1
Cartesian
0.000 2.650 0.000
2.650 0.000 0.000
0.000 0.000 2.169
2.650 2.650 2.169
2.650 2.650 0.000
```

Computed properties:
The formation energy is 1.751 eV per atom.

Entry 7:
VASP calculation (PBE-GGA) on TiTlI2O after structural relaxation.

Geometry as POSCAR:
```
TiTlI2O
1.0
6.163 0.000 0.000
0.000 6.163 0.000
0.000 0.000 4.088
Ti Tl I O
1 1 2 1
Cartesian
0.000 0.000 0.000
3.081 3.081 2.044
0.000 3.081 2.044
3.081 0.000 2.044
3.081 3.081 0.000
```

Computed properties:
The energy above the most stable polymorph in this dataset is 1400 meV/atom. Its uncorrected formation energy is 0.227 eV/atom.

Entry 8:
VASP calculation (PBE-GGA) on TcPtN2O after structural relaxation.

Geometry as POSCAR:
```
TcPtN2O
1.0
3.909 0.000 0.000
0.000 3.909 0.000
0.000 0.000 4.069
Tc Pt N O
1 1 2 1
Cartesian
0.000 0.000 0.000
1.954 1.954 2.035
0.000 1.954 2.035
1.954 0.000 2.035
1.954 1.954 0.000
```

Computed properties:
Its uncorrected formation energy is 1.481 eV/atom.

Entry 9:
VASP calculation (PBE-GGA) on Sc2TcC2 after structural relaxation.

Geometry as POSCAR:
```
Sc2TcC2
1.0
5.903 0.000 0.000
0.000 5.903 0.000
0.000 0.000 3.373
Sc Tc C
4 2 4
Cartesian
1.095 1.857 0.000
1.857 4.809 0.000
4.046 1.095 0.000
4.809 4.046 0.000
0.000 0.000 1.687
2.952 2.952 1.687
0.557 3.508 1.687
2.395 0.557 1.687
3.508 5.347 1.687
5.347 2.395 1.687
```

Computed properties:
The energy above the most stable polymorph in this dataset is 109 meV/atom. The formation energy is -0.359 eV per atom.

Entry 10:
VASP calculation (PBE-GGA) on RbSr2Ca after structural relaxation.

Geometry as POSCAR:
```
RbSr2Ca
1.0
7.021 0.000 0.000
0.000 7.021 0.000
0.000 0.000 4.550
Rb Sr Ca
1 2 1
Cartesian
0.000 0.000 0.000
0.000 3.511 2.275
3.511 0.000 2.275
3.511 3.511 0.000
```

Computed properties:
The energy above the most stable polymorph in this dataset is 69 meV/atom. The formation energy is 0.154 eV per atom.

Entry 11:
VASP calculation (PBE-GGA) on CaSn2Rh2 after structural relaxation.

Geometry as POSCAR:
```
CaSn2Rh2
1.0
7.783 0.000 0.000
0.000 7.783 0.000
0.000 0.000 3.244
Ca Sn Rh
2 4 4
Cartesian
0.000 0.000 0.000
3.891 3.891 0.000
1.195 2.697 1.622
2.697 6.588 1.622
5.086 1.195 1.622
6.588 5.086 1.622
1.085 4.976 0.000
2.807 1.085 0.000
4.976 6.698 0.000
6.698 2.807 0.000
```

Computed properties:
The formation energy is -0.508 eV per atom.

Entry 12:
VASP calculation (PBE-GGA) on Tb2Tl2Cd3 after structural relaxation.

Geometry as POSCAR:
```
Tb2Tl2Cd3
1.0
2.344 -11.250 0.000
2.344 11.250 0.000
0.000 0.000 3.467
Tb Tl Cd
2 2 3
Cartesian
2.344 7.909 0.000
2.344 -7.909 0.000
2.344 4.687 1.734
2.344 -4.687 1.734
0.000 0.000 0.000
2.344 1.500 1.734
2.344 -1.500 1.734
```

Computed properties:
The formation energy is -0.151 eV per atom.

Entry 13:
VASP calculation (PBE-GGA) on AlWAu2 after structural relaxation.

Geometry as POSCAR:
```
AlWAu2
1.0
4.766 -1.418 0.000
4.766 1.418 0.000
-0.918 0.000 4.967
Al W Au
1 1 2
Cartesian
0.000 0.000 0.000
4.307 0.000 2.484
1.714 0.000 3.718
6.900 0.000 1.249
```

Computed properties:
The formation energy is 0.209 eV per atom.

Entry 14:
VASP calculation (PBE-GGA) on BaLiIn2 after structural relaxation.

Geometry as POSCAR:
```
BaLiIn2
1.0
3.901 -3.937 0.000
3.901 3.937 0.000
-0.004 0.000 4.224
Ba Li In
1 1 2
Cartesian
0.000 0.000 0.000
3.901 0.000 0.000
1.949 1.969 2.112
1.949 -1.969 2.112
```

Computed properties:
The formation energy is -0.152 eV per atom.

Entry 15:
VASP calculation (PBE-GGA) on Mg2CuAs after structural relaxation.

Geometry as POSCAR:
```
Mg2CuAs
1.0
3.295 -3.562 0.000
3.295 3.562 0.000
-0.011 0.000 3.002
Mg Cu As
2 1 1
Cartesian
1.648 1.781 0.000
1.648 -1.781 0.000
-0.005 0.000 1.501
3.290 0.000 1.501
```

Computed properties:
The formation energy is -0.163 eV per atom.

Entry 16:
VASP calculation (PBE-GGA) on Cs2SnH6 after structural relaxation.

Geometry as POSCAR:
```
Cs2SnH6
1.0
0.000 4.432 4.432
4.432 0.000 4.432
4.432 4.432 0.000
Cs Sn H
2 1 6
Cartesian
2.216 2.216 2.216
6.648 6.648 6.648
0.000 0.000 0.000
4.432 4.432 1.885
4.432 1.885 4.432
6.979 4.432 4.432
1.885 4.432 4.432
4.432 6.979 4.432
4.432 4.432 6.979
```

Computed properties:
The total energy comes out at -26.2 eV per cell.

Entry 17:
VASP calculation (PBE-GGA) on Bi2SeO after structural relaxation.

Geometry as POSCAR:
```
Bi2SeO
1.0
-2.743 2.743 7.341
2.743 -2.743 7.341
2.743 2.743 -7.341
Bi Se O
4 2 2
Cartesian
4.114 0.803 -1.835
0.803 1.371 1.835
-1.371 1.940 5.506
1.940 1.371 9.177
2.743 0.000 3.671
0.000 0.000 7.341
0.000 0.000 0.000
0.000 2.743 3.671
```

Computed properties:
The energy above the most stable polymorph in this dataset is 0 meV/atom. Its uncorrected formation energy is -0.345 eV/atom.

Entry 18:
VASP calculation (PBE-GGA) on FeRuRh2 after structural relaxation.

Geometry as POSCAR:
```
FeRuRh2
1.0
1.350 0.779 8.659
-1.350 0.779 8.659
0.000 -1.559 8.659
Fe Ru Rh
1 1 2
Cartesian
0.000 0.000 0.000
0.000 0.000 21.671
0.000 0.000 10.794
0.000 0.000 15.202
```

Computed properties:
The formation energy is 0.026 eV per atom.

Entry 19:
VASP calculation (PBE-GGA) on Mn2FeRh after structural relaxation.

Geometry as POSCAR:
```
Mn2FeRh
1.0
1.287 0.743 8.285
-1.287 0.743 8.285
0.000 -1.486 8.285
Mn Fe Rh
2 1 1
Cartesian
0.000 0.000 0.000
0.000 0.000 6.322
0.000 0.000 18.583
0.000 0.000 12.479
```

Computed properties:
The energy above the most stable polymorph in this dataset is 188 meV/atom. The formation energy is 0.129 eV per atom.

Entry 20:
VASP calculation (PBE-GGA) on YTmGe2 after structural relaxation.

Geometry as POSCAR:
```
YTmGe2
1.0
2.072 1.196 6.662
-2.072 1.196 6.662
0.000 -2.393 6.662
Y Tm Ge
1 1 2
Cartesian
0.000 0.000 0.000
0.000 0.000 9.993
0.000 0.000 4.958
0.000 0.000 15.029
```

Computed properties:
The energy above the most stable polymorph in this dataset is 215 meV/atom. The formation energy is -0.651 eV per atom.

Entry 21:
VASP calculation (PBE-GGA) on Ac4TlTc after structural relaxation.

Geometry as POSCAR:
```
Ac4TlTc
1.0
4.745 -7.098 0.000
4.745 7.098 0.000
-2.082 0.000 6.459
Ac Tl Tc
8 2 2
Cartesian
1.721 4.742 6.145
1.389 1.099 3.928
4.645 4.742 3.543
2.431 -1.099 0.699
4.977 1.099 5.760
2.763 -4.742 2.916
6.018 -1.099 2.531
5.686 -4.742 0.314
4.224 1.741 1.615
3.183 -1.741 4.844
4.224 7.070 1.615
3.183 -7.070 4.844
```

Computed properties:
The formation energy is -0.099 eV per atom.

Entry 22:
VASP calculation (PBE-GGA) on LaYHo6 after structural relaxation.

Geometry as POSCAR:
```
LaYHo6
1.0
5.039 0.000 0.000
0.000 5.039 0.000
0.000 0.000 10.067
La Y Ho
1 1 6
Cartesian
0.000 0.000 0.000
0.000 0.000 5.033
0.000 2.519 2.551
0.000 2.519 7.516
2.519 0.000 2.551
2.519 0.000 7.516
2.519 2.519 0.000
2.519 2.519 5.033
```

Computed properties:
The energy above the most stable polymorph in this dataset is 0 meV/atom. The formation energy is 0.031 eV per atom.

Entry 23:
VASP calculation (PBE-GGA) on Mo2Ru after structural relaxation.

Geometry as POSCAR:
```
Mo2Ru
1.0
9.639 0.000 0.000
0.000 9.639 0.000
0.000 0.000 4.951
Mo Ru
20 10
Cartesian
0.376 3.577 0.000
1.023 1.023 0.000
1.243 5.196 2.476
1.715 7.925 1.228
1.715 7.925 3.724
3.105 3.105 1.248
3.105 3.105 3.704
3.577 0.376 0.000
3.797 5.842 2.476
4.444 8.397 2.476
5.196 1.243 2.476
5.842 3.797 2.476
6.062 9.264 0.000
6.534 6.534 1.248
6.534 6.534 3.704
7.925 1.715 1.228
7.925 1.715 3.724
8.397 4.444 2.476
8.617 8.617 0.000
9.264 6.062 0.000
0.000 0.000 2.476
0.671 2.550 2.476
2.270 5.491 0.000
2.550 0.671 2.476
4.148 7.370 0.000
4.820 4.820 0.000
5.491 2.270 0.000
7.089 8.968 2.476
7.370 4.148 0.000
8.968 7.089 2.476
```

Computed properties:
The energy above the most stable polymorph in this dataset is 0 meV/atom. The formation energy is 0.007 eV per atom.

Entry 24:
VASP calculation (PBE-GGA) on NpPPd6 after structural relaxation.

Geometry as POSCAR:
```
NpPPd6
1.0
4.525 2.613 1.874
-4.525 2.613 1.874
0.000 -5.225 1.874
Np P Pd
1 1 6
Cartesian
0.000 0.000 0.000
0.000 0.000 2.810
0.000 -2.467 2.280
-2.137 1.234 2.280
-2.137 -1.234 3.340
2.137 1.234 2.280
2.137 -1.234 3.340
0.000 2.467 3.340
```

Computed properties:
The formation energy is -0.252 eV per atom.

Number 1: density of states at the Fermi level 7.52 states/eV per cell. Number 2: density of states at the Fermi level 19.17 states/eV per cell. Number 3: density of states at the Fermi level 5.40 states/eV per cell. Number 4: density of states at the Fermi level 2.65 states/eV per cell. Number 5: density of states at the Fermi level 2.10 states/eV per cell. Number 6: density of states at the Fermi level 5.42 states/eV per cell. Number 7: density of states at the Fermi level 4.30 states/eV per cell. Number 8: density of states at the Fermi level 3.11 states/eV per cell. Number 9: density of states at the Fermi level 3.12 states/eV per cell. Number 10: density of states at the Fermi level 3.88 states/eV per cell. Number 11: density of states at the Fermi level 11.99 states/eV per cell. Number 12: density of states at the Fermi level 3.88 states/eV per cell. Number 13: density of states at the Fermi level 3.03 states/eV per cell. Number 14: density of states at the Fermi level 2.52 states/eV per cell. Number 15: density of states at the Fermi level 0.75 states/eV per cell. Number 16: density of states at the Fermi level 0.00 states/eV per cell. Number 17: density of states at the Fermi level 2.68 states/eV per cell. Number 18: density of states at the Fermi level 4.45 states/eV per cell. Number 19: density of states at the Fermi level 5.84 states/eV per cell. Number 20: density of states at the Fermi level 3.16 states/eV per cell. Number 21: density of states at the Fermi level 12.02 states/eV per cell. Number 22: density of states at the Fermi level 11.93 states/eV per cell. Number 23: density of states at the Fermi level 25.66 states/eV per cell. Number 24: density of states at the Fermi level 12.44 states/eV per cell.